1.
PBE VCdN3, optimized geometry; symmetry = Pm-3m
1.0
4.117 0.000 0.000
0.000 4.117 0.000
0.000 0.000 4.117
V Cd N
1 1 3
Cartesian
0.000 0.000 0.000
2.059 2.059 2.059
0.000 2.059 2.059
2.059 0.000 2.059
2.059 2.059 0.000



2.
PBE CdAsRu2, optimized geometry; symmetry = R3m; energy above the most stable polymorph in this dataset = 147 meV/atom; formation enthalpy at 0 K = 0.22 eV per atom
1.0
1.460 0.843 8.996
-1.460 0.843 8.996
0.000 -1.686 8.996
Cd As Ru
1 1 2
Cartesian
0.000 0.000 0.000
0.000 0.000 6.294
0.000 0.000 13.389
0.000 0.000 20.337



3.
PBE Tb2YCrN4, optimized geometry; symmetry = Cmcm
1.0
1.690 -5.711 0.000
1.690 5.711 0.000
0.000 0.000 11.723
Tb Y Cr N
4 2 2 8
Cartesian
1.690 4.210 6.365
1.690 4.210 11.220
1.690 -4.210 0.503
1.690 -4.210 5.358
1.690 1.253 8.792
1.690 -1.253 2.931
1.690 1.809 2.931
1.690 -1.809 8.792
1.690 4.936 8.792
1.690 3.060 1.553
1.690 3.060 4.309
1.690 0.000 0.000
1.690 0.000 5.862
1.690 -3.060 7.414
1.690 -3.060 10.170
1.690 -4.936 2.931



4.
PBE In2CoSe, optimized geometry; symmetry = R3m
1.0
1.670 0.964 9.051
-1.670 0.964 9.051
0.000 -1.928 9.051
In Co Se
2 1 1
Cartesian
0.000 0.000 0.000
0.000 0.000 6.309
0.000 0.000 13.299
0.000 0.000 21.159



5.
PBE PrSm3Si4, optimized geometry; symmetry = Immm
1.0
-2.018 3.222 8.035
2.018 -3.222 8.035
2.018 3.222 -8.035
Pr Sm Si
1 3 4
Cartesian
0.000 0.000 0.000
2.018 0.000 3.130
0.000 0.000 8.035
0.000 3.222 4.906
2.018 -1.166 5.905
0.000 2.056 2.131
2.018 1.166 5.905
0.000 4.388 2.131



6.
PBE Cd5Ag2PdAu2, optimized geometry; symmetry = P4/mbm; formation enthalpy at 0 K = -0.10 eV per atom
1.0
10.169 0.000 0.000
0.000 10.169 0.000
0.000 0.000 3.927
Cd Ag Pd Au
10 4 2 4
Cartesian
0.000 5.084 0.000
1.336 1.581 0.000
1.581 8.833 0.000
3.503 3.748 0.000
3.748 6.666 0.000
5.084 0.000 0.000
6.421 3.503 0.000
6.666 6.421 0.000
8.588 1.336 0.000
8.833 8.588 0.000
1.539 6.623 1.963
3.546 1.539 1.963
6.623 8.630 1.963
8.630 3.546 1.963
0.000 0.000 1.963
5.084 5.084 1.963
1.436 3.648 1.963
3.648 8.733 1.963
6.521 1.436 1.963
8.733 6.521 1.963



Number 1: energy -23.617 eV for the cell shown, calculated volume 69.8 Å³ per cell. Number 2: energy -23.253 eV for the cell shown, calculated volume 66.5 Å³ per cell. Number 3: energy -136.431 eV for the cell shown, calculated volume 226.4 Å³ per cell. Number 4: energy -16.211 eV for the cell shown, calculated volume 87.4 Å³ per cell. Number 5: energy -44.730 eV for the cell shown, calculated volume 209.0 Å³ per cell. Number 6: energy -45.973 eV for the cell shown, calculated volume 406.1 Å³ per cell.